! Ho3Tl4 GGA-PBE optimized geometry; values from VASP
&SYSTEM
  ibrav = 0, nat = 14, ntyp = 2
/
ATOMIC_SPECIES
Ho 164.93 Ho.upf
Tl 204.38 Tl.upf
CELL_PARAMETERS angstrom
-6.080 -0.951 -2.071
3.577 -7.693 -0.185
-0.850 3.184 7.820
ATOMIC_POSITIONS crystal
Ho 0.888 0.394 0.125
Ho 0.764 0.875 0.269
Tl 0.500 0.000 0.000
Tl 0.249 0.850 0.311
Tl 0.601 0.539 0.850
Tl 0.751 0.150 0.689
Tl 0.000 0.000 0.000
Tl 0.399 0.461 0.150
Ho 0.495 0.731 0.606
Tl 0.938 0.689 0.539
Tl 0.062 0.311 0.461
Ho 0.112 0.606 0.875
Ho 0.236 0.125 0.731
Ho 0.505 0.269 0.394
! ΔE to the lowest computed polymorph: 0.0 meV/atom
! E_form: -295 meV/atom
! Calculated density: 11.513 g/cm3
! Calculated total energy: -3.609 eV per atom

---

! CeSmIn2 GGA-PBE optimized geometry; values from VASP
&SYSTEM
  ibrav = 0, nat = 4, ntyp = 3
/
ATOMIC_SPECIES
In 114.82 In.upf
Ce 140.12 Ce.upf
Sm 150.36 Sm.upf
CELL_PARAMETERS angstrom
-0.961 -0.689 -3.374
4.295 -3.726 -0.462
-4.487 -2.975 1.886
ATOMIC_POSITIONS crystal
In 0.000 0.500 0.000
Ce 0.500 0.000 0.000
In 0.000 0.000 0.500
Sm 0.500 0.500 0.500
! E_form: -415 meV/atom
! Calculated density: 7.729 g/cm3
! Calculated total energy: -4.447 eV per atom